Record 1
# TbCdCuS3 PBE relaxed
data_TbCdCuS3
_chemical_formula_sum 'Tb2 Cd2 Cu2 S6'
_cell_length_a 7.447
_cell_length_b 3.821
_cell_length_c 8.930
_cell_angle_alpha 90.00
_cell_angle_beta 100.42
_cell_angle_gamma 90.00
_symmetry_space_group_name_H-M 'P 1 21/m 1'
_symmetry_Int_Tables_number 11
loop_
_symmetry_equiv_pos_as_xyz
'x,y,z'
'-x,-y,-z'
'-x,y+1/2,-z'
'x,-y+1/2,z'
loop_
_atom_site_label
_atom_site_fract_x
_atom_site_fract_y
_atom_site_fract_z
_atom_site_occupancy
Tb1 0.189 0.250 0.171 1
Cd1 0.279 0.750 0.720 1
Cu1 0.411 0.750 0.422 1
S1 0.087 0.250 0.850 1
S2 0.249 0.250 0.482 1
S3 0.442 0.750 0.166 1
# spin magnetization = 0.00 Bohr magnetons per cell
# energy above the most stable polymorph in this dataset = 0 meV/atom

Record 2
# Fe3Br2 PBE relaxed
data_Fe3Br2
_chemical_formula_sum 'Fe18 Br12'
_cell_length_a 6.3549
_cell_length_b 6.3549
_cell_length_c 15.4041
_cell_angle_alpha 90.00
_cell_angle_beta 90.00
_cell_angle_gamma 120.00
_symmetry_space_group_name_H-M 'R -3 c'
_symmetry_Int_Tables_number 167
_symmetry_space_group_name_Hall '-R 3 2"c'
loop_
_atom_site_label
_atom_site_fract_x
_atom_site_fract_y
_atom_site_fract_z
_atom_site_occupancy
Fe1 0.0000 0.2151 0.2500 1
Br1 0.0000 0.0000 0.1032 1
# total energy = -151.43 eV/cell
# spin magnetization = 49.60 Bohr magnetons per cell

Record 3
# TbTaN2O PBE relaxed
data_TbTaN2O
_chemical_formula_sum 'Tb8 Ta8 N16 O8'
_cell_length_a 7.895
_cell_length_b 7.902
_cell_length_c 7.947
_cell_angle_alpha 89.99
_cell_angle_beta 88.16
_cell_angle_gamma 89.89
_symmetry_space_group_name_H-M 'P -1'
_symmetry_Int_Tables_number 2
loop_
_symmetry_equiv_pos_as_xyz
'x,y,z'
'-x,-y,-z'
loop_
_atom_site_label
_atom_site_fract_x
_atom_site_fract_y
_atom_site_fract_z
_atom_site_occupancy
Tb1 0.018 0.252 0.036 1
Tb2 0.036 0.249 0.517 1
Tb3 0.457 0.750 0.982 1
Tb4 0.478 0.752 0.471 1
Ta1 0.239 0.495 0.755 1
Ta2 0.249 0.491 0.258 1
Ta3 0.254 0.013 0.755 1
Ta4 0.261 0.008 0.242 1
N1 0.000 0.446 0.298 1
N2 0.178 0.249 0.786 1
N3 0.200 0.940 0.003 1
N4 0.212 0.557 0.000 1
N5 0.288 0.046 0.502 1
N6 0.292 0.252 0.189 1
N7 0.304 0.450 0.500 1
N8 0.499 0.054 0.797 1
O1 0.002 0.932 0.706 1
O2 0.212 0.752 0.325 1
O3 0.327 0.746 0.717 1
O4 0.499 0.569 0.206 1
# total energy = -383.50 eV/cell
# spin magnetization = 0.00 Bohr magnetons per cell

What did the third record say?
# TbTaN2O PBE relaxed
data_TbTaN2O
_chemical_formula_sum 'Tb8 Ta8 N16 O8'
_cell_length_a 7.895
_cell_length_b 7.902
_cell_length_c 7.947
_cell_angle_alpha 89.99
_cell_angle_beta 88.16
_cell_angle_gamma 89.89
_symmetry_space_group_name_H-M 'P -1'
_symmetry_Int_Tables_number 2
loop_
_symmetry_equiv_pos_as_xyz
'x,y,z'
'-x,-y,-z'
loop_
_atom_site_label
_atom_site_fract_x
_atom_site_fract_y
_atom_site_fract_z
_atom_site_occupancy
Tb1 0.018 0.252 0.036 1
Tb2 0.036 0.249 0.517 1
Tb3 0.457 0.750 0.982 1
Tb4 0.478 0.752 0.471 1
Ta1 0.239 0.495 0.755 1
Ta2 0.249 0.491 0.258 1
Ta3 0.254 0.013 0.755 1
Ta4 0.261 0.008 0.242 1
N1 0.000 0.446 0.298 1
N2 0.178 0.249 0.786 1
N3 0.200 0.940 0.003 1
N4 0.212 0.557 0.000 1
N5 0.288 0.046 0.502 1
N6 0.292 0.252 0.189 1
N7 0.304 0.450 0.500 1
N8 0.499 0.054 0.797 1
O1 0.002 0.932 0.706 1
O2 0.212 0.752 0.325 1
O3 0.327 0.746 0.717 1
O4 0.499 0.569 0.206 1
# total energy = -383.50 eV/cell
# spin magnetization = 0.00 Bohr magnetons per cell